(1)
Entry from Alexandria via LeMat-Bulk: crystalline B2C at its relaxed geometry (GGA-PBE).

abc: 4.7710 4.7710 4.2270
angles: 103.27 103.27 115.13
Fractional positions:
B 0.0000 0.0000 0.0000
B 0.2351 0.5510 0.4664
B 0.2816 0.9571 0.6317
B 0.3176 0.6488 0.9420
B 0.5510 0.2351 0.4664
B 0.6488 0.3176 0.9420
B 0.6517 0.6517 0.6166
B 0.9571 0.2816 0.6317
C 0.0092 0.3426 0.0595
C 0.3426 0.0092 0.0595
C 0.6856 0.6856 0.0602
C 0.9037 0.9037 0.4713

Polymorph energy (0 for the lowest one) in meV/atom: 165
Space-group type: Cm, No. 8

=====

(2)
Entry from Alexandria via LeMat-Bulk: crystalline AcPuIr2 at its relaxed geometry (GGA-PBE).

abc: 5.0559 5.0559 5.0559
angles: 60.00 60.00 60.00
Fractional positions:
Ac 0.0000 0.0000 0.0000
Pu 0.5000 0.5000 0.5000
Ir 0.2500 0.2500 0.2500
Ir 0.7500 0.7500 0.7500

Polymorph energy (0 for the lowest one) in meV/atom: 61
Space-group type: Fm-3m, No. 225

=====

(3)
Entry from Alexandria via LeMat-Bulk: crystalline TcB3C at its relaxed geometry (GGA-PBE).

abc: 4.0697 4.0697 4.0697
angles: 90.00 90.00 90.00
Fractional positions:
Tc 0.0000 0.0000 0.0000
B 0.0000 0.0000 0.5000
B 0.0000 0.5000 0.0000
B 0.5000 0.0000 0.0000
C 0.5000 0.5000 0.5000

Polymorph energy (0 for the lowest one) in meV/atom: 940
Space-group type: Pm-3m, No. 221

=====

(4)
Entry from Alexandria via LeMat-Bulk: crystalline Ac2P2Rh5 at its relaxed geometry (GGA-PBE).

abc: 4.2624 4.2624 9.3604
angles: 90.00 90.00 90.00
Fractional positions:
Ac 0.0000 0.0000 0.0000
Ac 0.0000 0.0000 0.5000
P 0.5000 0.5000 0.1696
P 0.5000 0.5000 0.8304
Rh 0.0000 0.5000 0.2609
Rh 0.0000 0.5000 0.7391
Rh 0.5000 0.0000 0.2609
Rh 0.5000 0.0000 0.7391
Rh 0.5000 0.5000 0.5000

Space-group type: P4/mmm, No. 123

=====

Number 1: calculated formation energy 351 meV/atom, energy -86.11 eV per cell. Number 2: calculated formation energy -322 meV/atom, energy -37.45 eV per cell. Number 3: calculated formation energy 2467 meV/atom, energy -27.29 eV per cell. Number 4: calculated formation energy -868 meV/atom, energy -63.61 eV per cell.